(1)
Here is crystalline LaMn2CoC at its relaxed geometry from Alexandria. Energies are from GGA-PBE.

Values from the calculation:
SG: P4/mmm (123)
Energy in eV per atom: -6.560
Energy of formation from the pure elements in eV/atom: 1.36
Magnetization in μB per formula unit: 8.050

Cell and atoms, written as extended XYZ:
```
5
Lattice="4.4402 0.0000 0.0000 0.0000 4.4402 0.0000 0.0000 0.0000 5.2081" Properties=species:S:1:pos:R:3 pbc="T T T"
La 0.0000 0.0000 0.0000
Mn 0.0000 2.2201 2.6041
Mn 2.2201 0.0000 2.6041
Co 0.0000 0.0000 2.6041
C 2.2201 2.2201 0.0000
```

***

(2)
Here is crystalline SiP3 at its relaxed geometry from Alexandria. Energies are from GGA-PBE.

Values from the calculation:
SG: C2/m (12)
Energy in eV per atom: -4.851
Magnetization in μB per formula unit: 0.000

Cell and atoms, written as extended XYZ:
```
4
Lattice="5.8472 -1.2567 0.0000 5.8472 1.2567 0.0000 -0.3684 0.0000 4.5742" Properties=species:S:1:pos:R:3 pbc="T T T"
Si 0.0000 0.0000 0.0000
P 3.5610 0.0000 3.3593
P 5.6631 0.0000 2.2871
P 7.7652 0.0000 1.2150
```

***

(3)
Here is crystalline AsOF3 at its relaxed geometry from Alexandria. Energies are from GGA-PBE.

Values from the calculation:
SG: Pm-3m (221)
Energy in eV per atom: -3.946
Magnetization in μB per formula unit: 1.955
E above lowest polymorph in eV per formula unit: 0.00

Cell and atoms, written as extended XYZ:
```
5
Lattice="4.1225 0.0000 0.0000 0.0000 4.1225 0.0000 0.0000 0.0000 4.1225" Properties=species:S:1:pos:R:3 pbc="T T T"
As 0.0000 0.0000 0.0000
O 2.0612 2.0612 2.0612
F 0.0000 0.0000 2.0612
F 0.0000 2.0612 0.0000
F 2.0612 0.0000 0.0000
```

***

(4)
Here is crystalline CsCrSb2Te at its relaxed geometry from Alexandria. Energies are from GGA-PBE.

Values from the calculation:
SG: P4/mmm (123)
Energy in eV per atom: -4.334
Magnetization in μB per formula unit: 2.611
E above lowest polymorph in eV per formula unit: 0.00

Cell and atoms, written as extended XYZ:
```
5
Lattice="5.2335 0.0000 0.0000 0.0000 5.2335 0.0000 0.0000 0.0000 5.8970" Properties=species:S:1:pos:R:3 pbc="T T T"
Cs 0.0000 0.0000 0.0000
Cr 2.6167 2.6167 2.9485
Sb 0.0000 2.6167 2.9485
Sb 2.6167 0.0000 2.9485
Te 2.6167 2.6167 0.0000
```

***

(5)
Here is crystalline BiSe2Br at its relaxed geometry from Alexandria. Energies are from GGA-PBE.

Values from the calculation:
SG: Fm-3m (225)
Energy in eV per atom: -2.920
Magnetization in μB per formula unit: 0.000
E above lowest polymorph in eV per formula unit: 1.61

Cell and atoms, written as extended XYZ:
```
4
Lattice="0.0000 3.6549 3.6549 3.6549 0.0000 3.6549 3.6549 3.6549 0.0000" Properties=species:S:1:pos:R:3 pbc="T T T"
Bi 0.0000 0.0000 0.0000
Se 1.8275 1.8275 1.8275
Se 5.4824 5.4824 5.4824
Br 3.6549 3.6549 3.6549
```

***

(6)
Here is crystalline PaCoSiTc at its relaxed geometry from Alexandria. Energies are from GGA-PBE.

Values from the calculation:
SG: F-43m (216)
Energy in eV per atom: -8.334
Magnetization in μB per formula unit: 0.966
E above lowest polymorph in eV per formula unit: 0.00

Cell and atoms, written as extended XYZ:
```
4
Lattice="0.0000 3.1876 3.1876 3.1876 0.0000 3.1876 3.1876 3.1876 0.0000" Properties=species:S:1:pos:R:3 pbc="T T T"
Pa 0.0000 0.0000 0.0000
Co 1.5938 1.5938 1.5938
Si 3.1876 3.1876 3.1876
Tc 4.7814 4.7814 4.7814
```

***

(7)
Here is crystalline TaHg2Os at its relaxed geometry from Alexandria. Energies are from GGA-PBE.

Values from the calculation:
SG: Cm (8)
Energy in eV per atom: -5.423
Energy of formation from the pure elements in eV/atom: 0.50
Magnetization in μB per formula unit: 0.000
E above lowest polymorph in eV per formula unit: 1.03

Cell and atoms, written as extended XYZ:
```
4
Lattice="4.7962 -1.5688 0.0000 4.7962 1.5688 0.0000 -1.2198 0.0000 5.0516" Properties=species:S:1:pos:R:3 pbc="T T T"
Ta 0.0000 0.0000 0.0000
Hg 1.4014 0.0000 3.5414
Hg 3.9354 0.0000 2.3383
Os 6.6229 0.0000 0.7880
```

***

(8)
Here is crystalline Cd6Pd2Au3 at its relaxed geometry from Alexandria. Energies are from GGA-PBE.

Values from the calculation:
SG: I4/mmm (139)
Energy in eV per atom: -2.405
Energy of formation from the pure elements in eV/atom: -0.07
Magnetization in μB per formula unit: 0.000

Cell and atoms, written as extended XYZ:
```
11
Lattice="-2.0658 2.0658 13.7136 2.0658 -2.0658 13.7136 2.0658 2.0658 -13.7136" Properties=species:S:1:pos:R:3 pbc="T T T"
Cd 2.0658 0.0000 2.0304
Cd 0.0000 0.0000 6.6203
Cd 2.0658 0.0000 11.6831
Cd 0.0000 2.0658 2.0304
Cd 0.0000 0.0000 20.8069
Cd 0.0000 2.0658 11.6831
Pd 0.0000 0.0000 3.9515
Pd 0.0000 0.0000 23.4756
Au 0.0000 0.0000 9.4157
Au 0.0000 0.0000 13.7136
Au 0.0000 0.0000 18.0115
```

***

(9)
Here is crystalline CsUVSe3 at its relaxed geometry from Alexandria. Energies are from GGA-PBE.

Values from the calculation:
SG: P2_1/m (11)
Energy in eV per atom: -6.278
Magnetization in μB per formula unit: 2.565

Cell and atoms, written as extended XYZ:
```
12
Lattice="10.0431 0.0000 0.0000 0.0000 3.9184 0.0000 -4.4744 0.0000 9.2530" Properties=species:S:1:pos:R:3 pbc="T T T"
Cs 1.0722 0.9796 2.2266
Cs 4.4964 2.9388 7.0264
U -0.5262 2.9388 7.7903
U 6.0949 0.9796 1.4628
V -1.9252 0.9796 5.4427
V 7.4939 2.9388 3.8104
Se -2.5982 0.9796 7.8419
Se -0.3410 2.9388 4.9129
Se 4.0100 2.9388 1.4033
Se 1.5587 0.9796 7.8497
Se 5.9097 0.9796 4.3402
Se 8.1668 2.9388 1.4112
```

***

(10)
Here is crystalline KRbPbBr4 at its relaxed geometry from Alexandria. Energies are from GGA-PBE.

Values from the calculation:
SG: I4mm (107)
Energy in eV per atom: -3.130
Magnetization in μB per formula unit: 0.000

Cell and atoms, written as extended XYZ:
```
7
Lattice="-2.9695 2.9695 8.6437 2.9695 -2.9695 8.6437 2.9695 2.9695 -8.6437" Properties=species:S:1:pos:R:3 pbc="T T T"
K 0.0000 0.0000 0.0000
Rb 0.0000 0.0000 4.7719
Pb 0.0000 0.0000 11.0473
Br 2.9695 0.0000 2.3300
Br 0.0000 0.0000 8.0810
Br 0.0000 2.9695 2.3300
Br 0.0000 0.0000 14.0792
```

***

(11)
Here is crystalline LiTm2Ga3 at its relaxed geometry from Alexandria. Energies are from GGA-PBE.

Values from the calculation:
SG: Fmmm (69)
Energy in eV per atom: -3.850
Energy of formation from the pure elements in eV/atom: -0.53
Magnetization in μB per formula unit: 0.000
E above lowest polymorph in eV per formula unit: 0.00

Cell and atoms, written as extended XYZ:
```
12
Lattice="0.0000 4.4402 7.7070 3.4840 0.0000 7.7070 3.4840 4.4402 0.0000" Properties=species:S:1:pos:R:3 pbc="T T T"
Li 3.4840 4.4402 2.5925
Li 3.4840 4.4402 12.8214
Tm 5.2422 4.4402 7.7070
Tm 1.7420 2.2201 3.8535
Tm 5.2260 6.6602 11.5605
Tm 1.7258 4.4402 7.7070
Ga 3.4840 2.2063 6.4011
Ga 3.4840 4.4402 5.1169
Ga 3.4840 2.2063 9.0129
Ga 3.4840 6.6740 6.4011
Ga 3.4840 4.4402 10.2970
Ga 3.4840 6.6740 9.0129
```

***

(12)
Here is crystalline NaTaIr3 at its relaxed geometry from Alexandria. Energies are from GGA-PBE.

Values from the calculation:
SG: Pm-3m (221)
Energy in eV per atom: -6.829
Energy of formation from the pure elements in eV/atom: 1.12
Magnetization in μB per formula unit: 0.000
E above lowest polymorph in eV per formula unit: 0.00

Cell and atoms, written as extended XYZ:
```
5
Lattice="4.8351 0.0000 0.0000 0.0000 4.8351 0.0000 0.0000 0.0000 4.8351" Properties=species:S:1:pos:R:3 pbc="T T T"
Na 0.0000 0.0000 0.0000
Ta 2.4175 2.4175 2.4175
Ir 0.0000 2.4175 2.4175
Ir 2.4175 0.0000 2.4175
Ir 2.4175 2.4175 0.0000
```

***

(13)
Here is crystalline PrCu4Pd6 at its relaxed geometry from Alexandria. Energies are from GGA-PBE.

Values from the calculation:
SG: P-6m2 (187)
Energy in eV per atom: -4.995
Energy of formation from the pure elements in eV/atom: -0.24
Magnetization in μB per formula unit: 0.000

Cell and atoms, written as extended XYZ:
```
11
Lattice="7.0770 0.0000 0.0000 -3.5385 6.1288 0.0000 0.0000 0.0000 4.1198" Properties=species:S:1:pos:R:3 pbc="T T T"
Pr 0.0000 0.0000 0.0000
Cu 0.0000 4.0859 0.0000
Cu 2.2612 1.3055 2.0599
Cu 4.8158 1.3055 2.0599
Cu 3.5385 3.5178 2.0599
Pd 0.0000 2.4367 2.0599
Pd -1.4283 4.9105 2.0599
Pd 3.5385 0.4006 0.0000
Pd 2.1162 2.8641 0.0000
Pd 1.4283 4.9105 2.0599
Pd 4.9608 2.8641 0.0000
```